Entry 1:
VASP calculation (GGA-PBE) on DyMg4Ti after structural relaxation.

Lattice parameters (Å, degrees): 5.8337 5.8337 5.8337 60.00 60.00 60.00
Closest atoms and distances in Å follow each position.
Fractional coordinates of all 6 atoms:
1 Dy 0.0000 0.0000 0.0000  12 Mg 3.42, 4 Ti 3.57
2 Mg 0.3756 0.3756 0.3756  6 Mg 2.90-2.93
3 Mg 0.3756 0.3756 0.8731  6 Mg 2.90-2.93
4 Mg 0.3756 0.8731 0.3756  6 Mg 2.90-2.93
5 Mg 0.8731 0.3756 0.3756  6 Mg 2.90-2.93
6 Ti 0.7500 0.7500 0.7500  12 Mg 3.42, 4 Dy 3.57

Output
The value obtained for the formation energy is 124 meV per atom. As for the final energy: -3.022 eV per atom. As for the space-group type: F-43m (216). The calculation puts the density at 3.6 g cm⁻³. The density of states at the Fermi level is 7.16 states/eV per cell. The magnetization is 3.0 μB/cell.


Entry 2:
VASP calculation (GGA-PBE) on Dy2MgTi after structural relaxation.

Lattice parameters (Å, degrees): 11.8356 11.8356 11.8356 15.66 15.66 15.66
Closest atoms and distances in Å follow each position.
Fractional coordinates of all 4 atoms:
1 Dy 0.0840 0.0840 0.0840  1 Ti 2.94, 6 Dy 3.23
2 Dy 0.9160 0.9160 0.9160  1 Ti 2.94, 6 Dy 3.23
3 Mg 0.5000 0.5000 0.5000  6 Mg 3.23, 6 Dy 3.45
4 Ti 0.0000 0.0000 0.0000  2 Dy 2.94, 6 Ti 3.23

Output
The value obtained for the excess energy over the best structure of this formula in the dataset is 350.3 meV/atom. The value obtained for the formation energy is 420 meV per atom. As for the final energy: -4.253 eV per atom. As for the space-group type: R-3m (166). The calculation puts the density at 6.3 g cm⁻³. The density of states at the Fermi level is 5.22 states/eV per cell. The magnetization is 1.8 μB/cell.


Entry 3:
VASP calculation (GGA-PBE) on Dy2MgTi after structural relaxation.

Lattice parameters (Å, degrees): 3.3897 3.3897 8.9421 90.00 90.00 90.00
Closest atoms and distances in Å follow each position.
Fractional coordinates of all 4 atoms:
1 Dy 0.0000 0.0000 0.2308  4 Ti 3.16, 4 Dy 3.39, 4 Mg 3.40
2 Dy 0.0000 0.0000 0.7692  4 Ti 3.16, 4 Dy 3.39, 4 Mg 3.40
3 Mg 0.5000 0.5000 0.5000  4 Mg 3.39, 8 Dy 3.40
4 Ti 0.5000 0.5000 0.0000  8 Dy 3.16, 4 Ti 3.39

Output
The value obtained for the excess energy over the best structure of this formula in the dataset is 0.0 meV/atom. The value obtained for the formation energy is 70 meV per atom. As for the final energy: -4.604 eV per atom. As for the space-group type: P4/mmm (123). The calculation puts the density at 6.4 g cm⁻³. The density of states at the Fermi level is 4.31 states/eV per cell. The magnetization is 0.0 μB/cell.


Entry 4:
VASP calculation (GGA-PBE) on Dy2MgTi after structural relaxation.

Lattice parameters (Å, degrees): 5.2472 5.2472 5.2472 60.00 60.00 60.00
Closest atoms and distances in Å follow each position.
Fractional coordinates of all 4 atoms:
1 Dy 0.2500 0.2500 0.2500  4 Ti 3.21, 4 Mg 3.21
2 Dy 0.7500 0.7500 0.7500  4 Ti 3.21, 4 Mg 3.21
3 Mg 0.0000 0.0000 0.0000  8 Dy 3.21
4 Ti 0.5000 0.5000 0.5000  8 Dy 3.21

Output
The value obtained for the excess energy over the best structure of this formula in the dataset is 73.0 meV/atom. The value obtained for the formation energy is 143 meV per atom. As for the final energy: -4.531 eV per atom. As for the space-group type: Fm-3m (225). The calculation puts the density at 6.5 g cm⁻³. The density of states at the Fermi level is 7.34 states/eV per cell. The magnetization is 2.1 μB/cell.


Entry 5:
VASP calculation (GGA-PBE) on DyYMgTi after structural relaxation.

Lattice parameters (Å, degrees): 5.2616 5.2616 5.2616 60.00 60.00 60.00
Closest atoms and distances in Å follow each position.
Fractional coordinates of all 4 atoms:
1 Dy 0.0000 0.0000 0.0000  4 Ti 3.22, 4 Mg 3.22
2 Y 0.5000 0.5000 0.5000  4 Mg 3.22, 4 Ti 3.22
3 Mg 0.2500 0.2500 0.2500  4 Dy 3.22, 4 Y 3.22
4 Ti 0.7500 0.7500 0.7500  4 Dy 3.22, 4 Y 3.22

Output
The value obtained for the formation energy is 141 meV per atom. As for the final energy: -4.998 eV per atom. As for the space-group type: F-43m (216). The calculation puts the density at 5.2 g cm⁻³. The density of states at the Fermi level is 7.86 states/eV per cell. The magnetization is 2.2 μB/cell.


Entry 6:
VASP calculation (GGA-PBE) on DyMg6Tl6 after structural relaxation.

Lattice parameters (Å, degrees): 7.9256 7.9256 7.9256 134.52 103.78 93.48
Closest atoms and distances in Å follow each position.
Fractional coordinates of all 13 atoms:
1 Dy 0.0000 0.0000 0.0000  8 Tl 3.32-3.63
2 Mg 0.0000 0.0000 0.5000  6 Tl 3.03-3.24, 4 Mg 3.06-3.12
3 Mg 0.0000 0.5000 0.0000  6 Tl 3.03-3.24, 4 Mg 3.06-3.12
4 Mg 0.2478 0.5000 0.7478  6 Tl 2.99-3.19, 4 Mg 3.12
5 Mg 0.5000 0.0000 0.0000  6 Tl 3.03-3.24, 4 Mg 3.06-3.12
6 Mg 0.5000 0.5000 0.5000  6 Tl 3.03-3.24, 4 Mg 3.06-3.12
7 Mg 0.7522 0.5000 0.2522  6 Tl 2.99-3.19, 4 Mg 3.12
8 Tl 0.1618 0.6618 0.5000  6 Mg 2.99-3.04
9 Tl 0.3342 0.3342 0.0000  6 Mg 3.03-3.05
10 Tl 0.3397 0.0000 0.3397  1 Tl 3.14, 6 Mg 3.19-3.24, 1 Dy 3.32
11 Tl 0.6603 0.0000 0.6603  1 Tl 3.14, 6 Mg 3.19-3.24, 1 Dy 3.32
12 Tl 0.6658 0.6658 0.0000  6 Mg 3.03-3.05
13 Tl 0.8382 0.3382 0.5000  6 Mg 2.99-3.04

Output
The value obtained for the formation energy is -70 meV per atom. As for the final energy: -2.252 eV per atom. As for the space-group type: Immm (71). The calculation puts the density at 7.8 g cm⁻³. The density of states at the Fermi level is 5.62 states/eV per cell. The magnetization is 0.0 μB/cell.


Entry 7:
VASP calculation (GGA-PBE) on Dy2Mg2Tl after structural relaxation.

Lattice parameters (Å, degrees): 5.1735 5.1759 6.4977 66.85 66.64 60.16
Closest atoms and distances in Å follow each position.
Fractional coordinates of all 5 atoms:
1 Dy 0.1019 0.1014 0.1945  3 Tl 3.19-3.20, 3 Mg 3.34, 1 Dy 3.53
2 Dy 0.8981 0.8986 0.8055  3 Tl 3.19-3.20, 3 Mg 3.34, 1 Dy 3.53
3 Mg 0.3171 0.3172 0.5486  3 Mg 3.04, 1 Tl 3.17, 3 Dy 3.34
4 Mg 0.6829 0.6828 0.4514  3 Mg 3.04, 1 Tl 3.17, 3 Dy 3.34
5 Tl 0.5000 0.5000 0.0000  2 Mg 3.17, 6 Dy 3.19-3.20

Output
The value obtained for the formation energy is -155 meV per atom. As for the final energy: -3.106 eV per atom. As for the space-group type: P-1 (2). The calculation puts the density at 7.1 g cm⁻³. The density of states at the Fermi level is 6.24 states/eV per cell. The magnetization is 0.0 μB/cell.


Entry 8:
VASP calculation (GGA-PBE) on Dy3MgTl2 after structural relaxation.

Lattice parameters (Å, degrees): 8.2923 8.2923 3.9806 90.00 90.00 143.64
Closest atoms and distances in Å follow each position.
Fractional coordinates of all 6 atoms:
1 Dy 0.0000 0.0000 0.0000  4 Tl 3.18, 4 Mg 3.26
2 Dy 0.3302 0.6698 0.0000  6 Tl 3.27-3.37, 2 Mg 3.33, 2 Dy 3.62
3 Dy 0.6698 0.3302 0.0000  6 Tl 3.27-3.37, 2 Mg 3.33, 2 Dy 3.62
4 Mg 0.5000 0.5000 0.5000  8 Dy 3.26-3.33, 4 Tl 3.58
5 Tl 0.1573 0.8427 0.5000  8 Dy 3.18-3.37
6 Tl 0.8427 0.1573 0.5000  8 Dy 3.18-3.37

Output
The value obtained for the excess energy over the best structure of this formula in the dataset is 0.0 meV/atom. The value obtained for the formation energy is -276 meV per atom. As for the final energy: -3.632 eV per atom. As for the space-group type: Cmmm (65). The calculation puts the density at 9.4 g cm⁻³. The density of states at the Fermi level is 4.69 states/eV per cell. The magnetization is 0.0 μB/cell.


Entry 9:
VASP calculation (GGA-PBE) on Dy7Mg5Tl after structural relaxation.

Lattice parameters (Å, degrees): 8.3668 8.3668 6.2219 111.67 111.67 78.75
Closest atoms and distances in Å follow each position.
Fractional coordinates of all 13 atoms:
1 Dy 0.0000 0.0000 0.0000  4 Mg 3.11-3.12, 2 Dy 3.32
2 Dy 0.0501 0.4209 0.2369  5 Mg 3.25-3.38, 4 Dy 3.32-3.60
3 Dy 0.4209 0.0501 0.2369  5 Mg 3.25-3.38, 4 Dy 3.32-3.60
4 Dy 0.5657 0.5657 0.0663  6 Mg 3.23-3.28, 1 Dy 3.28
5 Dy 0.5675 0.8948 0.7322  5 Mg 3.33-3.40, 4 Dy 3.47-3.51, 1 Tl 3.59
6 Dy 0.8543 0.8543 0.3563  5 Dy 3.28-3.60, 4 Mg 3.39
7 Dy 0.8948 0.5675 0.7322  5 Mg 3.33-3.40, 4 Dy 3.47-3.51, 1 Tl 3.59
8 Mg 0.2332 0.7304 0.7259  3 Mg 3.03-3.20, 5 Dy 3.11-3.38
9 Mg 0.2330 0.7306 0.2395  3 Mg 3.03-3.20, 5 Dy 3.12-3.36
10 Mg 0.4753 0.4753 0.4760  4 Mg 3.04, 6 Dy 3.27-3.39
11 Mg 0.7304 0.2332 0.7259  3 Mg 3.03-3.20, 5 Dy 3.11-3.38
12 Mg 0.7306 0.2330 0.2395  3 Mg 3.03-3.20, 5 Dy 3.12-3.36
13 Tl 0.2001 0.2001 0.7003  9 Dy 3.59-3.93, 4 Mg 3.94-3.95

Output
The value obtained for the formation energy is 71 meV per atom. As for the final energy: -3.202 eV per atom. As for the space-group type: Cm (8). The calculation puts the density at 6.5 g cm⁻³. The density of states at the Fermi level is 13.92 states/eV per cell. The magnetization is 0.0 μB/cell.


Entry 10:
VASP calculation (GGA-PBE) on Dy4Mg3Tl after structural relaxation.

Lattice parameters (Å, degrees): 3.7866 3.7866 15.1618 90.00 90.00 90.00
Closest atoms and distances in Å follow each position.
Fractional coordinates of all 8 atoms:
1 Dy 0.0000 0.0000 0.1264  8 Mg 3.25-3.29
2 Dy 0.0000 0.0000 0.3725  4 Mg 3.28, 4 Tl 3.30
3 Dy 0.0000 0.0000 0.6275  4 Mg 3.28, 4 Tl 3.30
4 Dy 0.0000 0.0000 0.8736  8 Mg 3.25-3.29
5 Mg 0.5000 0.5000 0.0000  8 Dy 3.29
6 Mg 0.5000 0.5000 0.2474  8 Dy 3.25-3.28
7 Mg 0.5000 0.5000 0.7526  8 Dy 3.25-3.28
8 Tl 0.5000 0.5000 0.5000  8 Dy 3.30

Output
The value obtained for the formation energy is -153 meV per atom. As for the final energy: -3.348 eV per atom. As for the space-group type: P4/mmm (123). The calculation puts the density at 7.1 g cm⁻³. The density of states at the Fermi level is 9.38 states/eV per cell. The magnetization is 0.0 μB/cell.


Entry 11:
VASP calculation (GGA-PBE) on Dy2MgTl4 after structural relaxation.

Lattice parameters (Å, degrees): 7.6720 7.6720 7.6720 137.10 137.10 62.28
Closest atoms and distances in Å follow each position.
Fractional coordinates of all 7 atoms:
1 Dy 0.1366 0.1366 0.0000  8 Tl 3.18-3.33
2 Dy 0.8634 0.8634 0.0000  8 Tl 3.18-3.33
3 Mg 0.5000 0.5000 0.0000  4 Tl 2.81
4 Tl 0.0000 0.5000 0.5000  2 Mg 2.81
5 Tl 0.2500 0.7500 0.5000  4 Dy 3.18, 2 Tl 3.28
6 Tl 0.5000 0.0000 0.5000  2 Mg 2.81
7 Tl 0.7500 0.2500 0.5000  4 Dy 3.18, 2 Tl 3.28

Output
The value obtained for the formation energy is -21 meV per atom. As for the final energy: -2.916 eV per atom. As for the space-group type: I4/mmm (139). The calculation puts the density at 9.4 g cm⁻³. The density of states at the Fermi level is 3.99 states/eV per cell. The magnetization is 0.0 μB/cell.


Entry 12:
VASP calculation (GGA-PBE) on DyMg4Tl after structural relaxation.

Lattice parameters (Å, degrees): 6.0126 6.0126 6.0126 60.00 60.00 60.00
Closest atoms and distances in Å follow each position.
Fractional coordinates of all 6 atoms:
1 Dy 0.0000 0.0000 0.0000  12 Mg 3.52, 4 Tl 3.68
2 Mg 0.3748 0.3748 0.3748  6 Mg 3.00-3.01
3 Mg 0.3748 0.3748 0.8755  6 Mg 3.00-3.01
4 Mg 0.3748 0.8755 0.3748  6 Mg 3.00-3.01
5 Mg 0.8755 0.3748 0.3748  6 Mg 3.00-3.01
6 Tl 0.7500 0.7500 0.7500  12 Mg 3.53, 4 Dy 3.68

Output
The value obtained for the formation energy is 10 meV per atom. As for the final energy: -2.215 eV per atom. As for the space-group type: F-43m (216). The calculation puts the density at 5.0 g cm⁻³. The density of states at the Fermi level is 4.30 states/eV per cell. The magnetization is 0.0 μB/cell.